Record 1
Compound: IrRuPt2
Source: the Alexandria database
Functional: PBE
Structure: relaxed

Cell lengths 2.7527, 2.7527, 27.3523 Å; angles 90.00, 90.00, 120.00 degrees
Last column: nearest neighbours and their distance in Å.
Space group R3m (No. 160, hexagonal axes)
Symmetry-distinct sites (fractional):
Ir 0.0000 0.0000 0.0000 (multiplicity 3)  3 Ru 2.61, 6 Ir 2.75, 3 Pt 2.83
Ru 0.0000 0.0000 0.2577 (multiplicity 3)  3 Ir 2.61, 6 Ru 2.75, 3 Pt 2.79
Pt 0.0000 0.0000 0.5070 (multiplicity 3)  9 Pt 2.75-2.89, 3 Ru 2.79
Pt 0.0000 0.0000 0.7523 (multiplicity 3)  9 Pt 2.75-2.89, 3 Ir 2.83

Calculated values
N(E_F)	9.68	states/eV/cell
relative energy among the computed polymorphs	2	meV/atom
formation energy from the elements	-0.042	eV per atom
crystal system	trigonal

=====

Record 2
Compound: V2TcPt2
Source: the Alexandria database
Functional: PBE
Structure: relaxed

Cell lengths 6.5252, 6.5252, 3.5451 Å; angles 90.00, 90.00, 90.00 degrees
Last column: nearest neighbours and their distance in Å.
Space group P4/mbm (No. 127)
Symmetry-distinct sites (fractional):
V 0.1452 0.3548 0.0000 (multiplicity 4)  2 Tc 2.50, 6 Pt 2.55-2.65, 1 V 2.68
Tc 0.0000 0.0000 0.0000 (multiplicity 2)  4 V 2.50
Pt 0.1557 0.6557 0.5000 (multiplicity 4)  6 V 2.55-2.65

Calculated values
N(E_F)	9.95	states/eV/cell
relative energy among the computed polymorphs	113	meV/atom
formation energy from the elements	-0.107	eV per atom
crystal system	tetragonal

=====

Record 3
Compound: La8CoCu2
Source: the Alexandria database
Functional: PBE
Structure: relaxed

Cell lengths 18.8738, 3.9388, 9.1566 Å; angles 90.00, 93.29, 90.00 degrees
Last column: nearest neighbours and their distance in Å.
Space group C2/m (No. 12)
Symmetry-distinct sites (fractional):
La 0.0037 0.0000 0.2013 (multiplicity 4)  2 Co 2.70
La 0.0924 0.5000 0.5084 (multiplicity 4)  2 Cu 3.09
La 0.1548 0.5000 0.9915 (multiplicity 4)  1 Co 2.93, 2 Cu 3.09
La 0.2281 0.0000 0.3339 (multiplicity 4)  2 Cu 2.94
Co 0.0000 0.5000 0.0000 (multiplicity 2)  6 La 2.70-2.93
Cu 0.1624 0.0000 0.7328 (multiplicity 4)  7 La 2.94-3.23

Calculated values
N(E_F)	27.09	states/eV/cell
formation energy from the elements	-0.071	eV per atom
crystal system	monoclinic

=====

Record 4
Compound: BaO
Source: the Alexandria database
Functional: PBE
Structure: relaxed

Cell lengths 3.9198, 6.7886, 52.5757 Å; angles 90.00, 90.00, 90.00 degrees
Last column: nearest neighbours and their distance in Å.
Space group Cmcm (No. 63)
Symmetry-distinct sites (fractional):
Ba 0.0000 0.0000 0.0000 (multiplicity 4)  6 O 2.78-2.79
Ba 0.0000 0.0070 0.1253 (multiplicity 8)  6 O 2.79
Ba 0.0000 0.3245 0.7500 (multiplicity 4)  6 O 2.81
Ba 0.0000 0.3295 0.5626 (multiplicity 8)  6 O 2.79-2.83
Ba 0.0000 0.3416 0.1874 (multiplicity 8)  6 O 2.79
O 0.0000 0.0087 0.2184 (multiplicity 8)  6 Ba 2.79-2.81
O 0.0000 0.3254 0.6563 (multiplicity 8)  6 Ba 2.79
O 0.0000 0.3343 0.0309 (multiplicity 8)  6 Ba 2.78-2.83
O 0.0000 0.3399 0.0943 (multiplicity 8)  6 Ba 2.79-2.82

Calculated values
N(E_F)	0.00	states/eV/cell
crystal system	orthorhombic
uncorrected formation energy	-2.459	eV per atom

=====

Record 5
Compound: K3Rb6Pd
Source: the Alexandria database
Functional: PBE
Structure: relaxed

Cell lengths 12.6495, 8.6300, 18.6926 Å; angles 90.00, 132.47, 90.00 degrees
Last column: nearest neighbours and their distance in Å.
Space group P2_1/c (No. 14)
Symmetry-distinct sites (fractional):
K 0.0000 0.0000 0.0000 (multiplicity 2)  2 K 4.40, 4 Rb 4.61-4.68
K 0.1774 0.0542 0.6533 (multiplicity 4)  2 K 4.37-4.40, 4 Rb 4.50-4.63
Rb 0.1687 0.1618 0.3595 (multiplicity 4)  1 Pd 3.40
Rb 0.3484 0.6831 0.4999 (multiplicity 4)  1 Pd 3.34
Rb 0.4300 0.6172 0.8050 (multiplicity 4)  1 Pd 3.28
Pd 0.5000 0.0000 0.5000 (multiplicity 2)  6 Rb 3.28-3.40

Calculated values
N(E_F)	14.41	states/eV/cell
formation energy from the elements	0.054	eV per atom
crystal system	monoclinic

=====

Record 6
Compound: Cd3CoPd
Source: the Alexandria database
Functional: PBE
Structure: relaxed

Cell lengths 4.8483, 4.8483, 4.8483 Å; angles 90.00, 90.00, 90.00 degrees
Last column: nearest neighbours and their distance in Å.
Space group Pm-3m (No. 221)
Symmetry-distinct sites (fractional):
Cd 0.0000 0.0000 0.5000 (multiplicity 3)  2 Co 2.42
Co 0.0000 0.0000 0.0000 (multiplicity 1)  6 Cd 2.42
Pd 0.5000 0.5000 0.5000 (multiplicity 1)  12 Cd 3.43

Calculated values
N(E_F)	4.50	states/eV/cell
relative energy among the computed polymorphs	0	meV/atom
formation energy from the elements	0.591	eV per atom
crystal system	cubic

=====

Record 7
Compound: BaCoNi2
Source: the Alexandria database
Functional: PBE
Structure: relaxed

Cell lengths 6.5036, 6.5036, 6.5036 Å; angles 90.00, 90.00, 90.00 degrees
Last column: nearest neighbours and their distance in Å.
Space group F-43m (No. 216)
Symmetry-distinct sites (fractional):
Ba 0.0000 0.0000 0.0000 (multiplicity 4)  4 Co 2.82, 4 Ni 2.82
Co 0.2500 0.2500 0.7500 (multiplicity 4)  4 Ni 2.82, 4 Ba 2.82
Ni 0.0000 0.0000 0.5000 (multiplicity 4)  4 Ni 2.82, 4 Co 2.82
Ni 0.2500 0.2500 0.2500 (multiplicity 4)  4 Ba 2.82, 4 Ni 2.82

Calculated values
N(E_F)	34.88	states/eV/cell
formation energy from the elements	0.859	eV per atom
crystal system	cubic

=====

Record 8
Compound: ZrCdHg2
Source: the Alexandria database
Functional: PBE
Structure: relaxed

Cell lengths 3.1360, 4.6595, 6.2483 Å; angles 90.00, 104.29, 90.00 degrees
Last column: nearest neighbours and their distance in Å.
Space group Pm (No. 6)
Symmetry-distinct sites (fractional):
Zr 0.0000 0.0000 0.0000 (multiplicity 1)  7 Hg 3.04-3.40, 2 Zr 3.14, 4 Cd 3.30-3.31
Cd 0.6452 0.5000 0.2884 (multiplicity 1)  5 Hg 2.97-3.10, 2 Cd 3.14, 4 Zr 3.30-3.31
Hg 0.2552 0.0000 0.5024 (multiplicity 1)  4 Hg 2.94-3.14, 1 Zr 3.04, 4 Cd 3.09-3.10
Hg 0.4014 0.5000 0.7984 (multiplicity 1)  4 Hg 2.94-3.14, 1 Cd 2.97, 4 Zr 3.06

Calculated values
N(E_F)	2.48	states/eV/cell
formation energy from the elements	-0.033	eV per atom
crystal system	monoclinic

=====

Record 9
Compound: Ce4Ga3Co2
Source: the Alexandria database
Functional: PBE
Structure: relaxed

Cell lengths 13.2514, 9.7004, 6.2506 Å; angles 90.00, 104.54, 90.00 degrees
Last column: nearest neighbours and their distance in Å.
Space group C2/c (No. 15)
Symmetry-distinct sites (fractional):
Ce 0.0835 0.2456 0.0421 (multiplicity 8)  1 Co 2.33
Ce 0.1961 0.1088 0.6153 (multiplicity 8)  3 Co 2.72-3.05, 1 Ga 3.03
Ga 0.0000 0.0020 0.2500 (multiplicity 4)  8 Ce 3.04-3.17, 2 Ga 3.13
Ga 0.1041 0.4403 0.5243 (multiplicity 8)  2 Co 2.52-2.55
Co 0.2060 0.3643 0.9031 (multiplicity 8)  1 Ce 2.33, 2 Ga 2.52-2.55

Calculated values
N(E_F)	48.25	states/eV/cell
formation energy from the elements	-0.366	eV per atom
crystal system	monoclinic

=====

Record 10
Compound: Ba2HF
Source: the Alexandria database
Functional: PBE
Structure: relaxed

Cell lengths 7.2161, 7.2161, 7.2161 Å; angles 90.00, 90.00, 90.00 degrees
Last column: nearest neighbours and their distance in Å.
Space group Fm-3m (No. 225)
Symmetry-distinct sites (fractional):
Ba 0.2500 0.2500 0.2500 (multiplicity 8)  4 F 3.12, 4 H 3.12
H 0.0000 0.0000 0.0000 (multiplicity 4)  8 Ba 3.12
F 0.0000 0.0000 0.5000 (multiplicity 4)  8 Ba 3.12

Calculated values
N(E_F)	17.29	states/eV/cell
relative energy among the computed polymorphs	422	meV/atom
crystal system	cubic

=====

Record 11
Compound: Er3Ni13B2
Source: the Alexandria database
Functional: PBE
Structure: relaxed

Cell lengths 4.9255, 4.9255, 10.8968 Å; angles 90.00, 90.00, 120.00 degrees
Last column: nearest neighbours and their distance in Å.
Space group P6/mmm (No. 191)
Symmetry-distinct sites (fractional):
Er 0.0000 0.0000 0.0000 (multiplicity 1)  6 B 2.84, 12 Ni 2.86
Er 0.0000 0.0000 0.3290 (multiplicity 2)  12 Ni 2.85-3.09
Ni 0.0000 0.5000 0.1333 (multiplicity 6)  2 B 2.03
Ni 0.0000 0.5000 0.5000 (multiplicity 3)  8 Ni 2.43-2.46
Ni 0.3333 0.6667 0.3192 (multiplicity 4)  6 Ni 2.43-2.47
B 0.3333 0.6667 0.0000 (multiplicity 2)  6 Ni 2.03

Calculated values
N(E_F)	15.27	states/eV/cell
formation energy from the elements	-0.443	eV per atom
crystal system	hexagonal

=====

Record 12
Compound: PaGaTcW
Source: the Alexandria database
Functional: PBE
Structure: relaxed

Cell lengths 6.5628, 6.5628, 6.5628 Å; angles 90.00, 90.00, 90.00 degrees
Last column: nearest neighbours and their distance in Å.
Space group F-43m (No. 216)
Symmetry-distinct sites (fractional):
Pa 0.0000 0.0000 0.0000 (multiplicity 4)  4 W 2.84, 4 Tc 2.84
Ga 0.0000 0.0000 0.5000 (multiplicity 4)  4 W 2.84, 4 Tc 2.84
Tc 0.2500 0.2500 0.7500 (multiplicity 4)  4 Pa 2.84, 4 Ga 2.84
W 0.2500 0.2500 0.2500 (multiplicity 4)  4 Pa 2.84, 4 Ga 2.84

Calculated values
N(E_F)	18.82	states/eV/cell
formation energy from the elements	0.076	eV per atom
crystal system	cubic

=====

Record 13
Compound: Dy5Y
Source: the Alexandria database
Functional: PBE
Structure: relaxed

Cell lengths 5.0154, 15.0581, 5.0136 Å; angles 90.00, 90.00, 90.00 degrees
Last column: nearest neighbours and their distance in Å.
Space group Cmmm (No. 65)
Symmetry-distinct sites (fractional):
Dy 0.0000 0.0000 0.0000 (multiplicity 2)  4 Y 3.55, 8 Dy 3.55
Dy 0.0000 0.1671 0.5000 (multiplicity 4)  10 Dy 3.54-3.55, 2 Y 3.55
Dy 0.0000 0.3328 0.0000 (multiplicity 4)  10 Dy 3.54-3.55, 2 Y 3.55
Y 0.0000 0.5000 0.5000 (multiplicity 2)  12 Dy 3.55

Calculated values
N(E_F)	16.05	states/eV/cell
formation energy from the elements	0.019	eV per atom
crystal system	orthorhombic

=====

Record 14
Compound: BaNaI
Source: the Alexandria database
Functional: PBE
Structure: relaxed

Cell lengths 4.3027, 4.3027, 15.3913 Å; angles 90.00, 90.00, 90.00 degrees
Last column: nearest neighbours and their distance in Å.
Space group I4mm (No. 107)
Symmetry-distinct sites (fractional):
Ba 0.0000 0.0000 0.0000 (multiplicity 2)  4 I 3.58
Na 0.0000 0.0000 0.3091 (multiplicity 2)  4 I 4.18, 4 Ba 4.23, 4 Na 4.30
I 0.0000 0.0000 0.6227 (multiplicity 2)  4 Ba 3.58

Calculated values
N(E_F)	2.99	states/eV/cell
relative energy among the computed polymorphs	53	meV/atom
crystal system	tetragonal
uncorrected formation energy	-0.770	eV per atom

=====

Record 15
Compound: Bi2Cl3O2
Source: the Alexandria database
Functional: PBE
Structure: relaxed

Cell lengths 6.7003, 6.6189, 13.3397 Å; angles 90.00, 90.00, 90.00 degrees
Last column: nearest neighbours and their distance in Å.
Space group Pbcm (No. 57)
Symmetry-distinct sites (fractional):
Bi 0.0986 0.2500 0.0000 (multiplicity 4)  4 O 2.17-2.30
Bi 0.2792 0.5986 0.2500 (multiplicity 4)  2 O 2.54, 3 Cl 2.70-2.82
Cl 0.1318 0.2183 0.2500 (multiplicity 4)  2 Bi 2.70-2.87, 2 O 2.92
Cl 0.4538 0.6037 0.6214 (multiplicity 8)  2 Bi 2.82-2.86
O 0.0995 0.5530 0.0839 (multiplicity 8)  2 Bi 2.17-2.30

Calculated values
N(E_F)	25.53	states/eV/cell
crystal system	orthorhombic
uncorrected formation energy	-0.817	eV per atom

=====

Record 16
Compound: PuTl3Au2O6
Source: the Alexandria database
Functional: PBE
Structure: relaxed

Cell lengths 5.8197, 5.8197, 6.8274 Å; angles 90.00, 90.00, 120.00 degrees
Last column: nearest neighbours and their distance in Å.
Space group P-3m1 (No. 164)
Symmetry-distinct sites (fractional):
Pu 0.0000 0.0000 0.0000 (multiplicity 1)  6 O 2.01
Tl 0.0000 0.0000 0.5000 (multiplicity 1)  6 O 2.81
Tl 0.3333 0.6667 0.1697 (multiplicity 2)  1 Au 2.79, 9 O 2.86-2.91
Au 0.3333 0.6667 0.5788 (multiplicity 2)  3 O 2.43
O 0.1645 0.3290 0.8324 (multiplicity 6)  1 Pu 2.01

Calculated values
crystal system	trigonal
uncorrected formation energy	-0.941	eV per atom

=====

Record 17
Compound: LiS6Cl2
Source: the Alexandria database
Functional: PBE
Structure: relaxed

Cell lengths 3.8906, 7.3853, 8.0327 Å; angles 70.47, 77.23, 88.17 degrees
Last column: nearest neighbours and their distance in Å.
Space group P-1 (No. 2)
Symmetry-distinct sites (fractional):
Li 0.0000 0.0000 0.0000 (multiplicity 1)  4 Cl 2.48-2.65
S 0.1248 0.3388 0.6781 (multiplicity 2)  2 S 2.05-2.10
S 0.3549 0.5590 0.7334 (multiplicity 2)  2 S 2.07-2.10
S 0.4960 0.2300 0.5176 (multiplicity 2)  2 S 2.05-2.07
Cl 0.4626 0.1452 0.1238 (multiplicity 2)  2 Li 2.48-2.65

Calculated values
N(E_F)	1.11	states/eV/cell
crystal system	triclinic
uncorrected formation energy	-0.295	eV per atom

=====

Record 18
Compound: LiTb2
Source: the Alexandria database
Functional: PBE
Structure: relaxed

Cell lengths 3.6594, 3.6594, 12.4881 Å; angles 90.00, 90.00, 90.00 degrees
Last column: nearest neighbours and their distance in Å.
Space group I4/mmm (No. 139)
Symmetry-distinct sites (fractional):
Li 0.0000 0.0000 0.0000 (multiplicity 2)  8 Tb 3.22
Tb 0.0000 0.0000 0.3460 (multiplicity 4)  4 Li 3.22, 4 Tb 3.53

Calculated values
N(E_F)	9.24	states/eV/cell
formation energy from the elements	0.091	eV per atom
crystal system	tetragonal

=====

Record 19
Compound: Er7Mg2Cd2
Source: the Alexandria database
Functional: PBE
Structure: relaxed

Cell lengths 6.8662, 11.3477, 8.5383 Å; angles 90.00, 90.00, 90.00 degrees
Last column: nearest neighbours and their distance in Å.
Space group Cmmm (No. 65)
Symmetry-distinct sites (fractional):
Er 0.0000 0.0000 0.0000 (multiplicity 2)  2 Cd 3.12
Er 0.0000 0.5000 0.2052 (multiplicity 4)  2 Cd 3.10, 2 Mg 3.22, 4 Er 3.41
Er 0.2500 0.2500 0.2987 (multiplicity 8)  2 Cd 3.09, 2 Mg 3.33, 5 Er 3.41-3.44
Mg 0.2081 0.0000 0.5000 (multiplicity 4)  1 Mg 2.86
Cd 0.0000 0.2748 0.0000 (multiplicity 4)  7 Er 3.09-3.12

Calculated values
N(E_F)	23.08	states/eV/cell
formation energy from the elements	0.173	eV per atom
crystal system	orthorhombic

=====

Record 20
Compound: Sc2ZnCr
Source: the Alexandria database
Functional: PBE
Structure: relaxed

Cell lengths 3.9706, 3.9706, 18.8678 Å; angles 90.00, 90.00, 90.00 degrees
Last column: nearest neighbours and their distance in Å.
Space group I-42d (No. 122)
Symmetry-distinct sites (fractional):
Sc 0.2415 0.2500 0.1250 (multiplicity 8)  2 Cr 2.73, 2 Zn 2.76, 4 Sc 2.76-2.86
Zn 0.0000 0.0000 0.5000 (multiplicity 4)  4 Sc 2.76, 4 Cr 2.81
Cr 0.0000 0.0000 0.0000 (multiplicity 4)  4 Sc 2.73, 4 Zn 2.81

Calculated values
N(E_F)	22.74	states/eV/cell
formation energy from the elements	0.669	eV per atom
crystal system	tetragonal